A plane-wave DFT calculation with GGA-PBE was carried out for a geometry-optimized Cu3TcO2F6 structure.

For the total magnetization, the calculation gives 0.004 μB/atom. As for the energy relative to the elements, uncorrected: -1.420 eV/atom. The space group is C2/m (12).

Geometry as CIF:
```
data_Cu3TcO2F6
_chemical_formula_sum 'Cu3 Tc1 O2 F6'
_symmetry_space_group_name_H-M 'P 1'
_symmetry_Int_Tables_number 1
_cell_length_a 6.1563
_cell_length_b 6.1563
_cell_length_c 5.0631
_cell_angle_alpha 92.16
_cell_angle_beta 92.16
_cell_angle_gamma 59.23
loop_
_symmetry_equiv_pos_as_xyz
'x,y,z'
loop_
_atom_site_label
_atom_site_fract_x
_atom_site_fract_y
_atom_site_fract_z
Cu1 0.0000 0.0000 0.0000
Cu2 0.0000 0.5000 0.0000
Cu3 0.5000 0.0000 0.0000
Tc1 0.5000 0.5000 0.5000
O1 0.1635 0.1635 0.8983
O2 0.8365 0.8365 0.1017
F1 0.2005 0.6517 0.7209
F2 0.3483 0.7995 0.2791
F3 0.3487 0.3487 0.2676
F4 0.6513 0.6513 0.7324
F5 0.6517 0.2005 0.7209
F6 0.7995 0.3483 0.2791
```